This record from Alexandria describes a relaxed Tb2Sm3Th crystal. The functional is PBE.

Summary:
- polymorph energy (0 for the lowest one) (meV per atom) = 359
- ΔE_f (eV/atom) = 0.600
- SG = Ibam

Unit cell a=11.125 b=8.863 c=8.863 alpha=45.87 beta=51.13 gamma=51.13
Fractional coordinates of all 12 atoms:
1 Sm 0.233 0.017 0.517
2 Sm 0.500 0.250 0.750
3 Sm 0.767 0.983 0.483
4 Sm 0.767 0.483 0.983
5 Sm 0.233 0.517 0.017
6 Sm 0.500 0.750 0.250
7 Th 0.000 0.000 0.000
8 Th 0.000 0.500 0.500
9 Tb 0.455 0.801 0.801
10 Tb 0.057 0.699 0.699
11 Tb 0.943 0.301 0.301
12 Tb 0.545 0.199 0.199